Model A:
A geometry-optimized Nb2HIrRu structure, computed with PBE.

abc: 4.151 4.151 3.865
angles: 90.00 90.00 90.00
Positions (direct):
Nb 0.000 0.500 0.000
Nb 0.500 0.000 0.000
H 0.000 0.000 0.000
Ir 0.000 0.000 0.500
Ru 0.500 0.500 0.500

Computed properties:
Calculated volume   66.6 Å³ per cell
Crystal system   tetragonal
Mass density   11.97 Mg/m³

Model B:
A geometry-optimized Nb2HIrRu structure, computed with PBE.

abc: 4.152 4.152 3.850
angles: 90.00 90.00 90.00
Positions (direct):
Nb 0.000 0.500 0.000
Nb 0.500 0.000 0.000
H 0.000 0.000 0.000
Ir 0.500 0.500 0.500
Ru 0.000 0.000 0.500

Computed properties:
Calculated volume   66.4 Å³ per cell
Crystal system   tetragonal
Mass density   12.01 Mg/m³

Energy comparison, zero being the most stable, in kJ/mol of atoms: model A 4.9; model B 0.0.

Model A:
A geometry-optimized NbTc2HIr structure, computed with PBE.

abc: 3.980 3.980 4.004
angles: 90.00 90.00 90.00
Positions (direct):
Nb 0.000 0.000 0.000
Tc 0.000 0.500 0.500
Tc 0.500 0.000 0.500
H 0.500 0.500 0.500
Ir 0.500 0.500 0.000

Computed properties:
Calculated volume   63.4 Å³ per cell
Crystal system   tetragonal
Mass density   12.62 Mg/m³

Model B:
A geometry-optimized NbTc2HIr structure, computed with PBE.

abc: 3.941 3.941 4.079
angles: 90.00 90.00 90.00
Positions (direct):
Nb 0.000 0.000 0.000
Tc 0.000 0.500 0.500
Tc 0.500 0.000 0.500
H 0.000 0.000 0.500
Ir 0.500 0.500 0.000

Computed properties:
Calculated volume   63.4 Å³ per cell
Crystal system   tetragonal
Mass density   12.64 Mg/m³

Energy comparison, zero being the most stable, in kJ/mol of atoms: model A 2.5; model B 0.0.

Model A:
A geometry-optimized Ti2NbHIr structure, computed with PBE.

abc: 4.408 4.408 3.476
angles: 90.00 90.00 90.00
Positions (direct):
Ti 0.000 0.500 0.000
Ti 0.500 0.000 0.000
Nb 0.000 0.000 0.500
H 0.500 0.500 0.000
Ir 0.500 0.500 0.500

Computed properties:
Calculated volume   67.5 Å³ per cell
Crystal system   tetragonal
Mass density   9.39 Mg/m³

Model B:
A geometry-optimized Ti2NbHIr structure, computed with PBE.

abc: 4.309 4.309 3.611
angles: 90.00 90.00 90.00
Positions (direct):
Ti 0.000 0.500 0.000
Ti 0.500 0.000 0.000
Nb 0.000 0.000 0.500
H 0.000 0.000 0.000
Ir 0.500 0.500 0.500

Computed properties:
Calculated volume   67.1 Å³ per cell
Crystal system   tetragonal
Mass density   9.45 Mg/m³

Energy comparison, zero being the most stable, in kJ/mol of atoms: model A 4.2; model B 0.0.